1.
A plane-wave DFT calculation with PBE was carried out for crystalline AcCe5Pb4 at its relaxed geometry.

a = 4.245 Å, b = 4.245 Å, c = 17.283 Å
α = 90.00°, β = 90.00°, γ = 90.00°
Last column: magnetic moment on the atom in μB.
Fractional coordinates of all 10 atoms:
Pb  0.000  0.000  0.597  -0.02
Ce  0.500  0.500  0.138  0.75
Pb  0.000  0.000  0.403  -0.02
Ce  0.500  0.500  0.862  0.75
Ce  0.500  0.500  0.694  0.83
Pb  0.000  0.000  0.211  -0.03
Ac  0.000  0.000  0.000  0.04
Ce  0.500  0.500  0.306  0.83
Pb  0.000  0.000  0.789  -0.03
Ce  0.500  0.500  0.500  0.88

DOS(E_F): 2.873 states/eV/atom
volume: 31.15 Å³/atom
formation enthalpy at 0 K: -0.304 eV/atom

=====

2.
A plane-wave DFT calculation with PBE was carried out for crystalline TmTiAlIr2 at its relaxed geometry.

a = 3.994 Å, b = 3.994 Å, c = 6.418 Å
α = 108.13°, β = 108.13°, γ = 90.00°
Fractional coordinates of all 5 atoms:
Al  0.750  0.250  0.500
Ti  0.250  0.750  0.500
Ir  0.386  0.386  0.773
Ir  0.614  0.614  0.227
Tm  0.000  0.000  0.000

DOS(E_F): 0.584 states/eV/atom
volume: 18.39 Å³/atom
formation enthalpy at 0 K: -0.894 eV/atom

=====

3.
A plane-wave DFT calculation with PBE was carried out for crystalline BaCr2Se at its relaxed geometry.

a = 3.673 Å, b = 3.670 Å, c = 6.761 Å
α = 90.00°, β = 90.00°, γ = 90.00°
Last column: magnetic moment on the atom in μB.
Fractional coordinates of all 4 atoms:
Ba  0.500  0.500  0.750  -0.03
Se  0.500  0.500  0.250  -0.01
Cr  0.000  0.000  0.389  1.14
Cr  0.000  0.000  0.111  1.14

uncorrected formation energy: 0.558 eV/atom
DOS(E_F): 0.885 states/eV/atom
volume: 22.78 Å³/atom